VASP calculation (GGA-PBE) on a relaxed structure of TbZnCo2.

Unit cell a=4.8942 b=3.9472 c=6.8213 alpha=90.00 beta=90.00 gamma=90.00
With the nearest neighbours (Å) after each atom.
Space group Pmma (No. 51)
Symmetry-distinct sites (fractional):
Tb (0.2500, 0.0000, 0.1944) (multiplicity 2)  3 Co 2.71-2.85
Zn (0.2500, 0.5000, 0.8376) (multiplicity 2)  4 Co 2.59-2.61
Co (0.0000, 0.5000, 0.5000) (multiplicity 2)  6 Co 2.40-2.45, 2 Zn 2.61
Co (0.2500, 0.0000, 0.5912) (multiplicity 2)  4 Co 2.40, 2 Zn 2.59

M_tot in μB/f.u.: 2.4
ΔE_f in eV/atom: -0.235


VASP calculation (GGA-PBE) on a relaxed structure of Ba4CaCr.

Unit cell a=10.7581 b=10.7581 c=10.7581 alpha=90.00 beta=90.00 gamma=90.00
With the nearest neighbours (Å) after each atom.
Space group F-43m (No. 216)
Symmetry-distinct sites (fractional):
Ba (0.1254, 0.1254, 0.1254) (multiplicity 16)  6 Ba 3.79-3.82
Ca (0.2500, 0.2500, 0.7500) (multiplicity 4)  12 Ba 4.46, 4 Cr 4.66
Cr (0.0000, 0.0000, 0.5000) (multiplicity 4)  12 Ba 4.46, 4 Ca 4.66

M_tot in μB/f.u.: 3.1
ΔE_f in eV/atom: 0.666


VASP calculation (GGA-PBE) on a relaxed structure of CrSiBrN2.

Unit cell a=3.8743 b=3.8743 c=4.7801 alpha=90.00 beta=90.00 gamma=90.00
With the nearest neighbours (Å) after each atom.
Space group P4/mmm (No. 123)
Symmetry-distinct sites (fractional):
Cr (0.0000, 0.0000, 0.0000) (multiplicity 1)  4 Si 2.74
Si (0.5000, 0.5000, 0.0000) (multiplicity 1)  2 Br 2.39
Br (0.5000, 0.5000, 0.5000) (multiplicity 1)  4 N 1.94
N (0.0000, 0.5000, 0.5000) (multiplicity 2)  2 Br 1.94

M_tot in μB/f.u.: 0.4
ΔE_f (raw) in eV/f.u.: 12.8


VASP calculation (GGA-PBE) on a relaxed structure of Pa3TeC2.

Unit cell a=6.6980 b=3.8956 c=11.1931 alpha=90.00 beta=94.99 gamma=90.00
With the nearest neighbours (Å) after each atom.
Space group P2_1/m (No. 11)
Symmetry-distinct sites (fractional):
Pa (0.1210, 0.2500, 0.2904) (multiplicity 2)  2 C 2.31-2.34
Pa (0.1971, 0.2500, 0.9501) (multiplicity 2)  3 C 2.28-2.34
Pa (0.3705, 0.2500, 0.6034) (multiplicity 2)  3 C 2.28-2.37
Te (0.3874, 0.7500, 0.1499) (multiplicity 2)  6 Pa 3.08-3.15, 2 C 3.42
C (0.0309, 0.7500, 0.9025) (multiplicity 2)  4 Pa 2.28-2.34
C (0.4294, 0.2500, 0.4061) (multiplicity 2)  4 Pa 2.28-2.37

M_tot in μB/f.u.: 1.6
ΔE_f (raw) in eV/f.u.: -0.8


VASP calculation (GGA-PBE) on a relaxed structure of MgCd2Mo.

Unit cell a=4.2175 b=4.2175 c=8.6528 alpha=90.00 beta=90.00 gamma=90.00
With the nearest neighbours (Å) after each atom.
Space group I4/mmm (No. 139)
Symmetry-distinct sites (fractional):
Mg (0.0000, 0.0000, 0.0000) (multiplicity 2)  4 Mo 2.98, 8 Cd 3.02
Cd (0.0000, 0.5000, 0.2500) (multiplicity 4)  4 Cd 2.98, 4 Mg 3.02, 4 Mo 3.02
Mo (0.0000, 0.0000, 0.5000) (multiplicity 2)  4 Mg 2.98, 8 Cd 3.02

M_tot in μB/f.u.: 1.5
ΔE_f in eV/atom: 0.405


VASP calculation (GGA-PBE) on a relaxed structure of VB.

Unit cell a=3.0466 b=8.0366 c=2.9667 alpha=90.00 beta=90.00 gamma=90.00
With the nearest neighbours (Å) after each atom.
Space group Cmcm (No. 63)
Symmetry-distinct sites (fractional):
V (0.0000, 0.1474, 0.2500) (multiplicity 4)  7 B 2.23-2.33
B (0.0000, 0.4377, 0.2500) (multiplicity 4)  2 B 1.79

M_tot in μB/f.u.: 0.0
ΔE_f in eV/atom: -0.848


no.,density of states at the Fermi level (states/eV/cell)
1,9.02
2,39.78
3,7.25
4,18.19
5,5.55
6,2.75